(1)
VASP calculation (GGA-PBE) on an optimized crystal structure of CsPtSeN2.

abc: 4.139 4.139 7.383
angles: 90.00 90.00 90.00
Space group P4/mmm (No. 123)
One atom of each set of equivalent atoms:
Cs (0.000, 0.000, 0.000) [1 per cell]
Pt (0.500, 0.500, 0.500) [1 per cell]
Se (0.000, 0.000, 0.500) [1 per cell]
N (0.000, 0.500, 0.000) [2 per cell]

Summary:
Formation energy from raw total energies in eV/atom: 2.6687
Electronic total energy in eV/atom: -2.7372

***

(2)
VASP calculation (GGA-PBE) on an optimized crystal structure of AcNdTeS.

abc: 4.993 4.993 10.519
angles: 90.00 90.00 90.00
Space group P4/nmm (No. 129, origin choice 2)
One atom of each set of equivalent atoms:
Ac (0.250, 0.250, 0.143) [2 per cell]
Nd (0.250, 0.750, 0.500) [2 per cell]
Te (0.250, 0.250, 0.694) [2 per cell]
S (0.250, 0.750, 0.000) [2 per cell]

Summary:
Formation energy from raw total energies in eV/atom: -1.4836
Electronic total energy in eV/atom: -5.5199

***

(3)
VASP calculation (GGA-PBE) on an optimized crystal structure of SrAcGeI.

abc: 8.059 8.059 8.059
angles: 90.00 90.00 90.00
Space group F-43m (No. 216)
One atom of each set of equivalent atoms:
Sr (0.000, 0.000, 0.000) [4 per cell]
Ac (0.000, 0.000, 0.500) [4 per cell]
Ge (0.250, 0.250, 0.750) [4 per cell]
I (0.250, 0.250, 0.250) [4 per cell]

Summary:
Excess energy over the best structure of this formula in the dataset in meV per atom: 226.9
Formation energy from raw total energies in eV/atom: -0.7751
Electronic total energy in eV/atom: -3.7646

***

(4)
VASP calculation (GGA-PBE) on an optimized crystal structure of Pm4Pr8Tm3.

abc: 14.045 12.361 6.920
angles: 90.00 118.87 90.00
Space group C2/m (No. 12)
One atom of each set of equivalent atoms:
Pm (0.000, 0.000, 0.000) [2 per cell]
Pm (0.000, 0.000, 0.500) [2 per cell]
Pm (0.250, 0.250, 0.000) [4 per cell]
Pr (0.000, 0.248, 0.500) [4 per cell]
Pr (0.000, 0.298, 0.000) [4 per cell]
Pr (0.201, 0.500, 0.170) [4 per cell]
Pr (0.246, 0.000, 0.294) [4 per cell]
Tm (0.000, 0.500, 0.500) [2 per cell]
Tm (0.250, 0.250, 0.500) [4 per cell]

Summary:
Excess energy over the best structure of this formula in the dataset in meV per atom: 185.3
Electronic total energy in eV/atom: -4.3976

***

(5)
VASP calculation (GGA-PBE) on an optimized crystal structure of Pm12Ga5Hg2.

abc: 15.908 7.630 9.375
angles: 90.00 90.11 90.00
Space group C2/m (No. 12)
One atom of each set of equivalent atoms:
Pm (0.025, 0.000, 0.303) [4 per cell]
Pm (0.061, 0.500, 0.809) [4 per cell]
Pm (0.145, 0.241, 0.543) [8 per cell]
Pm (0.180, 0.268, 0.131) [8 per cell]
Ga (0.000, 0.500, 0.500) [2 per cell]
Ga (0.154, 0.000, 0.844) [4 per cell]
Ga (0.237, 0.000, 0.327) [4 per cell]
Hg (0.000, 0.196, 0.000) [4 per cell]

Summary:
Electronic total energy in eV/atom: -4.0552

***

(6)
VASP calculation (GGA-PBE) on an optimized crystal structure of LaPmAu4.

abc: 8.291 4.780 7.265
angles: 90.00 90.03 90.00
Space group C2/m (No. 12)
One atom of each set of equivalent atoms:
La (0.000, 0.000, 0.000) [2 per cell]
Pm (0.000, 0.000, 0.500) [2 per cell]
Au (0.166, 0.500, 0.262) [4 per cell]
Au (0.167, 0.500, 0.738) [4 per cell]

Summary:
Electronic total energy in eV/atom: -4.5841

***

Total magnetization readings, ordered: 1.9; 0.5; 0.0; 0.0; 0.0; 0.0 μB/f.u.